Density functional theory data (PBE-GGA) for a geometry-optimized Dy2SnPd3 structure.

a b c (Å): 6.3587 6.3587 8.6260
angles (deg): 109.91 109.91 52.45
With the nearest neighbours (Å) after each atom.
Fractional positions:
Dy 0.1878 0.1905 0.0944  6 Pd 2.88-3.16
Dy 0.1905 0.1878 0.5944  6 Pd 2.88-3.16
Dy 0.8095 0.8122 0.4056  6 Pd 2.88-3.16
Dy 0.8122 0.8095 0.9056  6 Pd 2.88-3.16
Sn 0.2889 0.7111 0.7500  6 Pd 2.76-2.86
Sn 0.7111 0.2889 0.2500  6 Pd 2.76-2.86
Pd 0.2019 0.7981 0.2500  2 Sn 2.76-2.86, 4 Pd 3.04-3.05
Pd 0.3724 0.3722 0.4360  1 Pd 2.69, 2 Sn 2.81, 4 Dy 2.88-2.90
Pd 0.3722 0.3724 0.9360  1 Pd 2.69, 2 Sn 2.81, 4 Dy 2.88-2.90
Pd 0.6278 0.6276 0.0640  1 Pd 2.69, 2 Sn 2.81, 4 Dy 2.88-2.90
Pd 0.6276 0.6278 0.5640  1 Pd 2.69, 2 Sn 2.81, 4 Dy 2.88-2.90
Pd 0.7981 0.2019 0.7500  2 Sn 2.76-2.86, 4 Pd 3.04-3.05

## Properties
formation energy	-78	kJ/mol of atoms
energy	-5.61	eV/atom
D(E_F)	4.55	states/eV/cell
symmetry	C2/c, No. 15